[1]
A plane-wave DFT calculation with GGA-PBE was carried out for an optimized crystal structure of AlCo2As.

abc: 4.503 4.503 4.050
angles: 103.49 103.49 38.28
Atoms (fractional coordinates):
Al 0.000 0.000 0.000
Co 0.509 0.509 0.505
Co 0.736 0.736 0.110
As 0.240 0.240 0.619

Output
formation enthalpy at 0 K = -250 meV per atom
relative energy among the computed polymorphs = 0.000 eV/atom
electronic total energy = -23.60 eV/f.u.
symmetry = Cm, No. 8

=====

[2]
A plane-wave DFT calculation with GGA-PBE was carried out for an optimized crystal structure of MnGa2Tc.

abc: 3.178 3.178 5.649
angles: 90.00 90.00 90.00
Atoms (fractional coordinates):
Mn 0.000 0.000 0.000
Ga 0.500 0.500 0.254
Ga 0.500 0.500 0.746
Tc 0.000 0.000 0.500

Output
formation enthalpy at 0 K = -68 meV per atom
relative energy among the computed polymorphs = 0.037 eV/atom
electronic total energy = -25.86 eV/f.u.
symmetry = P4/mmm, No. 123

=====

| no. | DOS(E_F) (states/eV per atom) |
| --- | --- |
| 1 | 0.62 |
| 2 | 0.85 |